Version w
! Te2CSe | Alexandria via LeMat-Bulk | PBE-GGA | relaxed; values from VASP
! Density of states at the Fermi level, states/eV/atom: 0.509
&SYSTEM
  ibrav = 0, nat = 8, ntyp = 3
/
ATOMIC_SPECIES
C 12.01 C.upf
Se 78.96 Se.upf
Te 127.60 Te.upf
CELL_PARAMETERS angstrom
6.8119 0.0000 0.0000
0.0000 6.8119 0.0000
3.4060 3.4060 4.0741
ATOMIC_POSITIONS crystal
C 0.5000 0.5000 0.0000
Se 0.0000 0.0000 0.0000
Te 0.2036 0.6250 0.2500
Se 0.7500 0.2500 0.5000
C 0.2500 0.7500 0.5000
Te 0.5464 0.1250 0.2500
Te 0.3750 0.4536 0.7500
Te 0.8750 0.7964 0.7500

Version x
! Te2CSe | Alexandria via LeMat-Bulk | PBE-GGA | relaxed; values from VASP
! Density of states at the Fermi level, states/eV/atom: 0.614
&SYSTEM
  ibrav = 0, nat = 4, ntyp = 3
/
ATOMIC_SPECIES
Te 127.60 Te.upf
C 12.01 C.upf
Se 78.96 Se.upf
CELL_PARAMETERS angstrom
1.9799 0.0000 8.7103
-0.9900 1.7147 8.7103
-0.9900 -1.7147 8.7103
ATOMIC_POSITIONS crystal
Te 0.1072 0.1072 0.1072
C 0.5000 0.5000 0.5000
Te 0.8928 0.8928 0.8928
Se 0.0000 0.0000 0.0000

Version y
! Te2CSe | Alexandria via LeMat-Bulk | PBE-GGA | relaxed; values from VASP
! Density of states at the Fermi level, states/eV/atom: 0.671
&SYSTEM
  ibrav = 0, nat = 4, ntyp = 3
/
ATOMIC_SPECIES
Se 78.96 Se.upf
Te 127.60 Te.upf
C 12.01 C.upf
CELL_PARAMETERS angstrom
-1.8760 1.6494 4.1726
-4.5536 -1.1657 1.2475
-0.8013 -3.0686 3.6867
ATOMIC_POSITIONS crystal
Se 0.5000 0.5000 0.5000
Te 0.2500 0.2500 0.2500
Te 0.7500 0.7500 0.7500
C 0.0000 0.0000 0.0000

Most stable one: version w, least stable one: version y.

Version w
! Th3C2Se | Alexandria via LeMat-Bulk | PBE-GGA | relaxed; values from VASP
! Density of states at the Fermi level, states/eV/atom: 0.608
&SYSTEM
  ibrav = 0, nat = 12, ntyp = 3
/
ATOMIC_SPECIES
C 12.01 C.upf
Th 232.04 Th.upf
Se 78.96 Se.upf
CELL_PARAMETERS angstrom
-0.8969 -0.1236 3.9004
1.7757 -6.4041 -1.8498
9.7057 2.0279 2.2962
ATOMIC_POSITIONS crystal
C 0.5291 0.0581 0.2500
Th 0.3754 0.7509 0.5623
C 0.0000 0.0000 0.5000
Th 0.6246 0.2491 0.4377
Se 0.2507 0.5015 0.2500
Se 0.7492 0.4985 0.7500
Th 0.6246 0.2491 0.0623
Th 0.0670 0.1340 0.7500
C 0.4709 0.9419 0.7500
C 0.0000 0.0000 0.0000
Th 0.3754 0.7509 0.9377
Th 0.9330 0.8660 0.2500

Version x
! Th3C2Se | Alexandria via LeMat-Bulk | PBE-GGA | relaxed; values from VASP
! Density of states at the Fermi level, states/eV/atom: 0.552
&SYSTEM
  ibrav = 0, nat = 12, ntyp = 3
/
ATOMIC_SPECIES
C 12.01 C.upf
Th 232.04 Th.upf
Se 78.96 Se.upf
CELL_PARAMETERS angstrom
-0.6561 3.9122 -0.4784
0.0035 0.8495 6.9420
11.2833 1.8106 -0.6672
ATOMIC_POSITIONS crystal
C 0.7500 0.0407 0.3935
Th 0.2500 0.1369 0.7874
Th 0.7500 0.6082 0.8872
Th 0.2500 0.3918 0.1128
C 0.7500 0.5763 0.0935
Th 0.2500 0.2044 0.4607
C 0.2500 0.9593 0.6065
Se 0.7500 0.3910 0.6474
Se 0.2500 0.6090 0.3526
C 0.2500 0.4237 0.9065
Th 0.7500 0.7956 0.5393
Th 0.7500 0.8631 0.2126

Most stable one: version w, least stable one: version x.

Version w
! TiCSe3 | Alexandria via LeMat-Bulk | PBE-GGA | relaxed; values from VASP
! Density of states at the Fermi level, states/eV/atom: 0.915
&SYSTEM
  ibrav = 0, nat = 5, ntyp = 3
/
ATOMIC_SPECIES
Se 78.96 Se.upf
C 12.01 C.upf
Ti 47.87 Ti.upf
CELL_PARAMETERS angstrom
4.9158 0.0000 0.0000
0.0000 4.9158 0.0000
0.0000 0.0000 4.9158
ATOMIC_POSITIONS crystal
Se 0.0000 0.5000 0.0000
C 0.5000 0.5000 0.5000
Se 0.0000 0.0000 0.5000
Se 0.5000 0.0000 0.0000
Ti 0.0000 0.0000 0.0000

Version x
! TiCSe3 | Alexandria via LeMat-Bulk | PBE-GGA | relaxed; values from VASP
! Density of states at the Fermi level, states/eV/atom: 0.688
&SYSTEM
  ibrav = 0, nat = 5, ntyp = 3
/
ATOMIC_SPECIES
Se 78.96 Se.upf
Ti 47.87 Ti.upf
C 12.01 C.upf
CELL_PARAMETERS angstrom
4.3673 0.0000 0.0000
0.0000 4.3673 0.0000
0.0000 0.0000 4.3673
ATOMIC_POSITIONS crystal
Se 0.0000 0.0000 0.5000
Ti 0.5000 0.5000 0.5000
C 0.0000 0.0000 0.0000
Se 0.5000 0.0000 0.0000
Se 0.0000 0.5000 0.0000

Most stable one: version x, least stable one: version w.

Version w
! Ti6CSe2 | Alexandria via LeMat-Bulk | PBE-GGA | relaxed; values from VASP
! Density of states at the Fermi level, states/eV/atom: 0.768
&SYSTEM
  ibrav = 0, nat = 9, ntyp = 3
/
ATOMIC_SPECIES
Ti 47.87 Ti.upf
Se 78.96 Se.upf
C 12.01 C.upf
CELL_PARAMETERS angstrom
3.3129 0.0000 0.0000
-1.6564 5.1101 -0.1081
0.0000 0.0930 7.9659
ATOMIC_POSITIONS crystal
Ti 0.5456 0.0913 0.2389
Ti 0.8618 0.7237 0.0541
Ti 0.4544 0.9087 0.7611
Se 0.2490 0.4980 0.2499
Ti 0.1296 0.2591 0.5453
Ti 0.1382 0.2763 0.9459
C 0.5000 0.0000 0.5000
Ti 0.8704 0.7409 0.4547
Se 0.7510 0.5020 0.7501

Version x
! Ti6CSe2 | Alexandria via LeMat-Bulk | PBE-GGA | relaxed; values from VASP
! Density of states at the Fermi level, states/eV/atom: 0.941
&SYSTEM
  ibrav = 0, nat = 9, ntyp = 3
/
ATOMIC_SPECIES
Ti 47.87 Ti.upf
Se 78.96 Se.upf
C 12.01 C.upf
CELL_PARAMETERS angstrom
3.3447 0.0000 0.0000
0.0000 6.7715 0.0000
0.0000 -3.3857 5.7482
ATOMIC_POSITIONS crystal
Ti 0.5000 0.5968 0.0000
Se 0.0000 0.6690 0.3396
Ti 0.5000 0.3917 0.3827
C 0.5000 0.0131 0.0000
Ti 0.0000 0.7648 0.7752
Ti 0.0000 0.2366 0.0000
Se 0.0000 0.3294 0.6604
Ti 0.5000 0.0090 0.6173
Ti 0.0000 0.9895 0.2248

Most stable one: version w, least stable one: version x.

Version w
! TiC3Se | Alexandria via LeMat-Bulk | PBE-GGA | relaxed; values from VASP
! Density of states at the Fermi level, states/eV/atom: 0.697
&SYSTEM
  ibrav = 0, nat = 5, ntyp = 3
/
ATOMIC_SPECIES
Ti 47.87 Ti.upf
C 12.01 C.upf
Se 78.96 Se.upf
CELL_PARAMETERS angstrom
-2.1816 -2.3472 -2.5929
3.3062 -2.3808 -0.6266
-1.1408 -2.4113 3.1427
ATOMIC_POSITIONS crystal
Ti 0.0000 0.0000 0.0000
C 0.5000 0.0000 0.0000
Se 0.5000 0.5000 0.5000
C 0.0000 0.5000 0.0000
C 0.0000 0.0000 0.5000

Version x
! TiC3Se | Alexandria via LeMat-Bulk | PBE-GGA | relaxed; values from VASP
! Density of states at the Fermi level, states/eV/atom: 0.646
&SYSTEM
  ibrav = 0, nat = 5, ntyp = 3
/
ATOMIC_SPECIES
C 12.01 C.upf
Ti 47.87 Ti.upf
Se 78.96 Se.upf
CELL_PARAMETERS angstrom
-1.8386 -0.3652 -3.3582
0.7408 -3.7740 0.0048
-3.2958 -0.6445 1.8745
ATOMIC_POSITIONS crystal
C 0.5000 0.0000 0.0000
Ti 0.5000 0.5000 0.5000
Se 0.0000 0.0000 0.0000
C 0.0000 0.0000 0.5000
C 0.0000 0.5000 0.0000

Most stable one: version w, least stable one: version x.

Version w
! Zr2TiCSe | Alexandria via LeMat-Bulk | PBE-GGA | relaxed; values from VASP
! Density of states at the Fermi level, states/eV/atom: 0.851
&SYSTEM
  ibrav = 0, nat = 5, ntyp = 4
/
ATOMIC_SPECIES
C 12.01 C.upf
Zr 91.22 Zr.upf
Se 78.96 Se.upf
Ti 47.87 Ti.upf
CELL_PARAMETERS angstrom
4.4207 0.0000 0.0000
0.0000 4.8323 0.0000
0.0000 0.0000 4.4207
ATOMIC_POSITIONS crystal
C 0.0000 0.0000 0.0000
Zr 0.0000 0.0000 0.5000
Se 0.0000 0.5000 0.0000
Ti 0.5000 0.5000 0.5000
Zr 0.5000 0.0000 0.0000

Version x
! Zr2TiCSe | Alexandria via LeMat-Bulk | PBE-GGA | relaxed; values from VASP
! Density of states at the Fermi level, states/eV/atom: 1.185
&SYSTEM
  ibrav = 0, nat = 5, ntyp = 4
/
ATOMIC_SPECIES
Zr 91.22 Zr.upf
Se 78.96 Se.upf
C 12.01 C.upf
Ti 47.87 Ti.upf
CELL_PARAMETERS angstrom
-0.4525 0.6835 -4.5680
3.8418 -1.0496 -0.5376
-1.2845 -4.4275 -0.5352
ATOMIC_POSITIONS crystal
Zr 0.0000 0.0000 0.5000
Se 0.5000 0.5000 0.5000
Zr 0.5000 0.0000 0.0000
C 0.0000 0.0000 0.0000
Ti 0.0000 0.5000 0.0000

Most stable one: version x, least stable one: version w.

Version w
! TlCSe2 | Alexandria via LeMat-Bulk | PBE-GGA | relaxed; values from VASP
! Density of states at the Fermi level, states/eV/atom: 0.533
&SYSTEM
  ibrav = 0, nat = 4, ntyp = 3
/
ATOMIC_SPECIES
C 12.01 C.upf
Se 78.96 Se.upf
Tl 204.38 Tl.upf
CELL_PARAMETERS angstrom
1.8685 0.0000 9.1414
-0.9342 1.6182 9.1414
-0.9342 -1.6182 9.1414
ATOMIC_POSITIONS crystal
C 0.5000 0.5000 0.5000
Se 0.1173 0.1173 0.1173
Se 0.8827 0.8827 0.8827
Tl 0.0000 0.0000 0.0000

Version x
! TlCSe2 | Alexandria via LeMat-Bulk | PBE-GGA | relaxed; values from VASP
! Density of states at the Fermi level, states/eV/atom: 0.614
&SYSTEM
  ibrav = 0, nat = 4, ntyp = 3
/
ATOMIC_SPECIES
Tl 204.38 Tl.upf
Se 78.96 Se.upf
C 12.01 C.upf
CELL_PARAMETERS angstrom
3.0810 0.0000 6.2447
-1.5405 2.6682 6.2447
-1.5405 -2.6682 6.2447
ATOMIC_POSITIONS crystal
Tl 0.5000 0.5000 0.5000
Se 0.9067 0.9067 0.9067
Se 0.0933 0.0933 0.0933
C 0.0000 0.0000 0.0000

Most stable one: version x, least stable one: version w.

Version w
! TlCSe2 | Alexandria via LeMat-Bulk | PBE-GGA | relaxed; values from VASP
! Density of states at the Fermi level, states/eV/atom: 1.130
&SYSTEM
  ibrav = 0, nat = 4, ntyp = 3
/
ATOMIC_SPECIES
C 12.01 C.upf
Se 78.96 Se.upf
Tl 204.38 Tl.upf
CELL_PARAMETERS angstrom
0.0000 3.4253 3.4253
3.4253 0.0000 3.4253
3.4253 3.4253 0.0000
ATOMIC_POSITIONS crystal
C 0.0000 0.0000 0.0000
Se 0.2500 0.2500 0.2500
Se 0.7500 0.7500 0.7500
Tl 0.5000 0.5000 0.5000

Version x
! TlCSe2 | Alexandria via LeMat-Bulk | PBE-GGA | relaxed; values from VASP
! Density of states at the Fermi level, states/eV/atom: 0.714
&SYSTEM
  ibrav = 0, nat = 8, ntyp = 3
/
ATOMIC_SPECIES
C 12.01 C.upf
Se 78.96 Se.upf
Tl 204.38 Tl.upf
CELL_PARAMETERS angstrom
-3.3359 4.3548 -3.9950
-5.8810 -1.9948 2.7362
-4.2561 4.0925 2.2512
ATOMIC_POSITIONS crystal
C 0.2500 0.7500 0.5000
Se 0.4867 0.1250 0.2500
Se 0.2633 0.6250 0.2500
Tl 0.0000 0.0000 0.0000
Se 0.8750 0.7367 0.7500
Tl 0.7500 0.2500 0.5000
C 0.5000 0.5000 0.0000
Se 0.3750 0.5133 0.7500

Most stable one: version x, least stable one: version w.

Version w
! Tl3CSe | Alexandria via LeMat-Bulk | PBE-GGA | relaxed; values from VASP
! Density of states at the Fermi level, states/eV/atom: 0.298
&SYSTEM
  ibrav = 0, nat = 5, ntyp = 3
/
ATOMIC_SPECIES
Tl 204.38 Tl.upf
C 12.01 C.upf
Se 78.96 Se.upf
CELL_PARAMETERS angstrom
-5.7970 -0.8046 2.0310
2.0202 -4.1663 4.1155
0.8314 4.5135 4.1611
ATOMIC_POSITIONS crystal
Tl 0.5000 0.0000 0.0000
Tl 0.0000 0.5000 0.0000
C 0.5000 0.5000 0.5000
Tl 0.0000 0.0000 0.5000
Se 0.0000 0.0000 0.0000

Version x
! Tl3CSe | Alexandria via LeMat-Bulk | PBE-GGA | relaxed; values from VASP
! Density of states at the Fermi level, states/eV/atom: 0.557
&SYSTEM
  ibrav = 0, nat = 5, ntyp = 3
/
ATOMIC_SPECIES
C 12.01 C.upf
Tl 204.38 Tl.upf
Se 78.96 Se.upf
CELL_PARAMETERS angstrom
5.0196 0.0000 0.0000
0.0000 5.0196 0.0000
0.0000 0.0000 5.0196
ATOMIC_POSITIONS crystal
C 0.0000 0.0000 0.0000
Tl 0.0000 0.0000 0.5000
Tl 0.0000 0.5000 0.0000
Se 0.5000 0.5000 0.5000
Tl 0.5000 0.0000 0.0000

Most stable one: version x, least stable one: version w.

Version w
! Tm4CSe | Alexandria via LeMat-Bulk | PBE-GGA | relaxed; values from VASP
! Density of states at the Fermi level, states/eV/atom: 0.895
&SYSTEM
  ibrav = 0, nat = 12, ntyp = 3
/
ATOMIC_SPECIES
Tm 168.93 Tm.upf
Se 78.96 Se.upf
C 12.01 C.upf
CELL_PARAMETERS angstrom
-1.6532 1.0289 6.0507
0.9497 -6.5229 -0.8305
7.3214 3.5364 -0.8401
ATOMIC_POSITIONS crystal
Tm 0.9421 0.1533 0.8815
Tm 0.4394 0.7282 0.8815
Tm 0.2824 0.0152 0.6235
Se 0.3224 0.5724 0.1447
Tm 0.8411 0.6084 0.6235
Tm 0.5606 0.2718 0.1185
C 0.1878 0.9378 0.8756
C 0.8122 0.0622 0.1244
Se 0.6776 0.4276 0.8553
Tm 0.7176 0.9848 0.3765
Tm 0.0579 0.8467 0.1185
Tm 0.1589 0.3916 0.3765

Version x
! Tm4CSe | Alexandria via LeMat-Bulk | PBE-GGA | relaxed; values from VASP
! Density of states at the Fermi level, states/eV/atom: 0.933
&SYSTEM
  ibrav = 0, nat = 6, ntyp = 3
/
ATOMIC_SPECIES
Tm 168.93 Tm.upf
C 12.01 C.upf
Se 78.96 Se.upf
CELL_PARAMETERS angstrom
-1.5352 -1.3754 3.0221
3.8792 -5.1895 -2.6052
3.3381 4.4666 3.7285
ATOMIC_POSITIONS crystal
Tm 0.8738 0.7475 0.1743
Tm 0.6147 0.2295 0.2382
C 0.0000 0.0000 0.0000
Se 0.5000 0.0000 0.5000
Tm 0.3853 0.7705 0.7618
Tm 0.1262 0.2525 0.8257

Most stable one: version w, least stable one: version x.

Version w
! VCSe3 | Alexandria via LeMat-Bulk | PBE-GGA | relaxed; values from VASP
! Density of states at the Fermi level, states/eV/atom: 0.810
&SYSTEM
  ibrav = 0, nat = 5, ntyp = 3
/
ATOMIC_SPECIES
Se 78.96 Se.upf
V 50.94 V.upf
C 12.01 C.upf
CELL_PARAMETERS angstrom
-0.0865 -0.9170 4.6923
2.9793 -3.6808 -0.6644
3.7393 2.9115 0.6379
ATOMIC_POSITIONS crystal
Se 0.0000 0.5000 0.0000
Se 0.0000 0.0000 0.5000
Se 0.5000 0.0000 0.0000
V 0.0000 0.0000 0.0000
C 0.5000 0.5000 0.5000

Version x
! VCSe3 | Alexandria via LeMat-Bulk | PBE-GGA | relaxed; values from VASP
! Density of states at the Fermi level, states/eV/atom: 0.900
&SYSTEM
  ibrav = 0, nat = 5, ntyp = 3
/
ATOMIC_SPECIES
V 50.94 V.upf
Se 78.96 Se.upf
C 12.01 C.upf
CELL_PARAMETERS angstrom
-0.8194 -2.0221 3.7931
4.2974 -0.4696 0.6780
0.0938 3.8521 2.0738
ATOMIC_POSITIONS crystal
V 0.5000 0.5000 0.5000
Se 0.0000 0.0000 0.5000
Se 0.5000 0.0000 0.0000
Se 0.0000 0.5000 0.0000
C 0.0000 0.0000 0.0000

Most stable one: version x, least stable one: version w.

Version w
! VC3Se | Alexandria via LeMat-Bulk | PBE-GGA | relaxed; values from VASP
! Density of states at the Fermi level, states/eV/atom: 1.281
&SYSTEM
  ibrav = 0, nat = 5, ntyp = 3
/
ATOMIC_SPECIES
Se 78.96 Se.upf
V 50.94 V.upf
C 12.01 C.upf
CELL_PARAMETERS angstrom
-3.4140 -1.5329 -0.9494
-0.8781 -0.3621 3.7423
-1.5749 3.5250 -0.0284
ATOMIC_POSITIONS crystal
Se 0.0000 0.0000 0.0000
V 0.5000 0.5000 0.5000
C 0.0000 0.5000 0.0000
C 0.5000 0.0000 0.0000
C 0.0000 0.0000 0.5000

Version x
! VC3Se | Alexandria via LeMat-Bulk | PBE-GGA | relaxed; values from VASP
! Density of states at the Fermi level, states/eV/atom: 0.874
&SYSTEM
  ibrav = 0, nat = 5, ntyp = 3
/
ATOMIC_SPECIES
Se 78.96 Se.upf
C 12.01 C.upf
V 50.94 V.upf
CELL_PARAMETERS angstrom
3.9980 0.0000 0.0000
0.0000 3.9980 0.0000
0.0000 0.0000 3.9980
ATOMIC_POSITIONS crystal
Se 0.5000 0.5000 0.5000
C 0.5000 0.0000 0.0000
V 0.0000 0.0000 0.0000
C 0.0000 0.5000 0.0000
C 0.0000 0.0000 0.5000

Most stable one: version x, least stable one: version w.